First-principles (PBE) data for Tb8In2Fe after structural relaxation, as listed in Alexandria.

Results
* ΔE_f: -0.1702 eV/atom

Lattice parameters (Å, degrees): 17.2135 5.5684 6.8737 90.00 113.35 90.00
With the nearest neighbours (Å) after each atom.
Space group C2/m (No. 12)
Symmetry-distinct sites (fractional):
Tb1 0.0012 0.0000 0.2589 [4 per cell]  2 Fe 3.24, 8 Tb 3.33-3.54, 2 In 3.39-3.44
Tb2 0.1178 0.5000 0.8825 [4 per cell]  1 Fe 2.61
Tb3 0.1229 0.5000 0.3684 [4 per cell]  1 Fe 2.61
Tb4 0.1957 0.0000 0.7028 [4 per cell]  8 Tb 3.34-3.52, 4 In 3.36-3.48
In1 0.1849 0.0000 0.1859 [4 per cell]  12 Tb 3.36-3.61
Fe1 0.0000 0.5000 0.5000 [2 per cell]  4 Tb 2.61

---

First-principles (PBE) data for BiOs2O after structural relaxation, as listed in Alexandria.

Results
* energy relative to the elements, uncorrected: 2.08 eV/f.u.
* relative energy among the computed polymorphs: 0.000 eV/atom

Lattice parameters (Å, degrees): 4.6403 4.6403 13.6409 90.00 90.00 90.00
With the nearest neighbours (Å) after each atom.
Space group I-42d (No. 122)
Symmetry-distinct sites (fractional):
Bi1 0.0000 0.0000 0.0000 [4 per cell]  4 Os 2.78
Os1 0.0967 0.2500 0.6250 [8 per cell]  2 O 2.11
O1 0.0000 0.0000 0.5000 [4 per cell]  4 Os 2.11

---

First-principles (PBE) data for BaIn2As2 after structural relaxation, as listed in Alexandria.

Results
* ΔE_f: -0.3122 eV/atom

Lattice parameters (Å, degrees): 8.4154 8.4154 4.2104 90.00 90.00 90.00
With the nearest neighbours (Å) after each atom.
Space group P4/mbm (No. 127)
Symmetry-distinct sites (fractional):
Ba1 0.0000 0.0000 0.0000 [2 per cell]  4 As 3.43, 8 In 3.83
In1 0.1499 0.3501 0.5000 [4 per cell]  4 As 3.04
As1 0.1068 0.6068 0.0000 [4 per cell]  1 As 2.54